{
  "formula": "Rb2IrPt",
  "functional": "SCAN",
  "state": "single point on PBEsol structure",
  "volume_a3_per_atom": 25.62,
  "dos_ef_per_ev_cell": 2.6,
  "magmom_total_mub_per_atom": 0.489,
  "e_tot_ev_per_cell": -177.19,
  "delta_e_f_ev_per_atom": 1.40,
  "cell": [[-3.556, -0.722, 3.798], [-3.256, -4.117, -0.199], [0.561, -3.960, 3.405]],
  "species": ["Rb", "Ir", "Pt", "Rb"],
  "frac_coords": [[0.750, 0.750, 0.750], [0.000, 0.000, 0.000], [0.500, 0.500, 0.500], [0.250, 0.250, 0.250]]
}



{
  "formula": "Eu2Si3Pd",
  "functional": "SCAN",
  "state": "single point on PBEsol structure",
  "raw_formation_energy_kcal_per_mol_atoms": -17.7,
  "volume_a3_per_atom": 20.43,
  "dos_ef_per_ev_cell": 29.7,
  "magmom_total_mub_per_atom": 2.306,
  "e_tot_ev_per_cell": -349.71,
  "cell": [[-2.579, -1.891, -2.682], [6.472, -2.747, -4.287], [-3.083, -4.523, 6.152]],
  "species": ["Eu", "Si", "Si", "Pd", "Si", "Eu", "Si", "Si", "Si", "Pd", "Eu", "Eu"],
  "frac_coords": [[0.000, 0.500, 0.000], [0.500, 0.835, 0.165], [0.500, 0.329, 0.165], [0.500, 0.667, 0.333], [0.500, 0.165, 0.835], [0.000, 0.000, 0.000], [0.500, 0.835, 0.671], [0.500, 0.671, 0.835], [0.500, 0.165, 0.329], [0.500, 0.333, 0.667], [0.000, 0.500, 0.500], [0.000, 0.000, 0.500]]
}



{
  "formula": "CrRu2",
  "functional": "SCAN",
  "state": "single point on PBEsol structure",
  "volume_a3_per_atom": 12.89,
  "dos_ef_per_ev_cell": 3.9,
  "magmom_total_mub_per_atom": 0.000,
  "e_tot_ev_per_cell": -175.54,
  "delta_e_f_ev_per_atom": 0.09,
  "cell": [[-0.887, -3.500, -2.531], [0.412, -4.292, 1.951], [-4.456, -1.594, -0.075]],
  "species": ["Ru", "Ru", "Ru", "Ru", "Cr", "Cr"],
  "frac_coords": [[0.147, 0.500, 0.206], [0.853, 0.500, 0.794], [0.647, 0.206, 0.500], [0.353, 0.794, 0.500], [0.750, 0.000, 0.000], [0.250, 0.000, 0.000]]
}



{
  "formula": "Zr2CdHg",
  "functional": "SCAN",
  "state": "single point on PBEsol structure",
  "volume_a3_per_atom": 20.90,
  "dos_ef_per_ev_cell": 3.3,
  "magmom_total_mub_per_atom": 0.000,
  "e_tot_ev_per_cell": -160.81,
  "polymorph_energy_ev_per_atom": 0.079,
  "delta_e_f_ev_per_atom": -0.21,
  "cell": [[-1.479, 1.633, -2.306], [-3.831, 1.164, 3.282], [5.122, 2.800, 0.902]],
  "species": ["Zr", "Hg", "Zr", "Cd"],
  "frac_coords": [[0.004, 0.004, 0.008], [0.755, 0.255, 0.510], [0.251, 0.751, 0.502], [0.490, 0.490, 0.980]]
}



{
  "formula": "K2Zn",
  "functional": "SCAN",
  "state": "single point on PBEsol structure",
  "volume_a3_per_atom": 43.79,
  "dos_ef_per_ev_cell": 1.9,
  "magmom_total_mub_per_atom": 0.000,
  "e_tot_ev_per_cell": -29.66,
  "delta_e_f_ev_per_atom": 0.17,
  "cell": [[4.126, 0.000, 0.000], [0.000, 4.126, 0.000], [-2.063, -2.063, 7.718]],
  "species": ["Zn", "K", "K"],
  "frac_coords": [[0.000, 0.000, 0.000], [0.632, 0.632, 0.264], [0.368, 0.368, 0.736]]
}



{
  "formula": "CrFeBi2",
  "functional": "SCAN",
  "state": "single point on PBEsol structure",
  "volume_a3_per_atom": 19.82,
  "dos_ef_per_ev_cell": 3.6,
  "magmom_total_mub_per_atom": 1.647,
  "e_tot_ev_per_cell": -191.74,
  "delta_e_f_ev_per_atom": 0.48,
  "cell": [[-0.084, 3.552, 3.260], [2.414, -0.476, 4.147], [3.960, 2.633, 0.800]],
  "species": ["Fe", "Cr", "Bi", "Bi"],
  "frac_coords": [[0.500, 0.500, 0.500], [0.000, 0.000, 0.000], [0.250, 0.250, 0.250], [0.750, 0.750, 0.750]]
}



{
  "formula": "TaSb2Os",
  "functional": "SCAN",
  "state": "single point on PBEsol structure",
  "raw_formation_energy_kcal_per_mol_atoms": 18.1,
  "volume_a3_per_atom": 19.08,
  "dos_ef_per_ev_cell": 5.2,
  "magmom_total_mub_per_atom": 0.002,
  "e_tot_ev_per_cell": -209.84,
  "polymorph_energy_ev_per_atom": 0.769,
  "cell": [[4.762, 0.000, 0.000], [2.381, 4.124, 0.000], [2.381, 1.375, 3.888]],
  "species": ["Sb", "Sb", "Ta", "Os"],
  "frac_coords": [[0.750, 0.750, 0.750], [0.000, 0.000, 0.000], [0.250, 0.250, 0.250], [0.500, 0.500, 0.500]]
}



{
  "formula": "Zr2ZnPt",
  "functional": "SCAN",
  "state": "single point on PBEsol structure",
  "volume_a3_per_atom": 17.91,
  "dos_ef_per_ev_cell": 2.6,
  "magmom_total_mub_per_atom": 0.000,
  "e_tot_ev_per_cell": -148.17,
  "delta_e_f_ev_per_atom": -0.77,
  "cell": [[3.370, 0.000, 0.000], [0.000, 3.370, 0.000], [0.000, 0.000, 6.310]],
  "species": ["Zr", "Zr", "Pt", "Zn"],
  "frac_coords": [[0.000, 0.000, 0.249], [0.000, 0.000, 0.751], [0.500, 0.500, 0.000], [0.500, 0.500, 0.500]]
}



{
  "formula": "SbAs2Pb",
  "functional": "SCAN",
  "state": "single point on PBEsol structure",
  "raw_formation_energy_kcal_per_mol_atoms": 1.3,
  "volume_a3_per_atom": 24.79,
  "dos_ef_per_ev_cell": 2.1,
  "magmom_total_mub_per_atom": 0.000,
  "e_tot_ev_per_cell": -153.20,
  "polymorph_energy_ev_per_atom": 0.018,
  "cell": [[-0.699, 4.002, -0.824], [0.251, 1.388, -3.898], [-6.623, 0.483, -2.459]],
  "species": ["As", "Pb", "As", "Sb"],
  "frac_coords": [[0.245, 0.245, 0.264], [0.000, 0.000, 0.000], [0.755, 0.755, 0.736], [0.500, 0.500, 0.500]]
}



{
  "formula": "BaCa2In2",
  "functional": "SCAN",
  "state": "single point on PBEsol structure",
  "volume_a3_per_atom": 33.52,
  "dos_ef_per_ev_cell": 7.9,
  "magmom_total_mub_per_atom": 0.000,
  "e_tot_ev_per_cell": -255.49,
  "polymorph_energy_ev_per_atom": 0.023,
  "delta_e_f_ev_per_atom": -0.42,
  "cell": [[4.116, 0.000, 0.000], [0.000, 9.025, 0.000], [0.000, 0.000, 9.025]],
  "species": ["Ca", "Ca", "In", "In", "In", "Ca", "Ba", "Ca", "In", "Ba"],
  "frac_coords": [[0.500, 0.172, 0.672], [0.500, 0.828, 0.328], [0.000, 0.880, 0.620], [0.000, 0.120, 0.380], [0.000, 0.620, 0.120], [0.500, 0.328, 0.172], [0.000, 0.000, 0.000], [0.500, 0.672, 0.828], [0.000, 0.380, 0.880], [0.000, 0.500, 0.500]]
}



{
  "formula": "Ba2SmBiO6",
  "functional": "SCAN",
  "state": "single point on PBEsol structure",
  "raw_formation_energy_kcal_per_mol_atoms": -59.1,
  "volume_a3_per_atom": 16.48,
  "dos_ef_per_ev_cell": 0.0,
  "magmom_total_mub_per_atom": 0.000,
  "e_tot_ev_per_cell": -265.15,
  "cell": [[6.154, 0.000, 0.000], [3.077, 5.330, 0.000], [3.077, 1.777, 5.025]],
  "species": ["O", "Sm", "Ba", "O", "Bi", "O", "O", "O", "O", "Ba"],
  "frac_coords": [[0.242, 0.758, 0.242], [0.500, 0.500, 0.500], [0.250, 0.250, 0.250], [0.758, 0.758, 0.242], [0.000, 0.000, 0.000], [0.242, 0.758, 0.758], [0.758, 0.242, 0.242], [0.758, 0.242, 0.758], [0.242, 0.242, 0.758], [0.750, 0.750, 0.750]]
}



{
  "formula": "Cd2AgCl",
  "functional": "SCAN",
  "state": "single point on PBEsol structure",
  "raw_formation_energy_kcal_per_mol_atoms": -4.9,
  "volume_a3_per_atom": 19.94,
  "dos_ef_per_ev_cell": 0.5,
  "magmom_total_mub_per_atom": 0.000,
  "e_tot_ev_per_cell": -101.02,
  "polymorph_energy_ev_per_atom": 0.118,
  "cell": [[3.231, 0.000, 0.000], [0.000, 4.881, 0.016], [-1.615, -2.179, 5.052]],
  "species": ["Cd", "Cd", "Ag", "Cl"],
  "frac_coords": [[0.268, 0.665, 0.535], [0.003, 0.120, 0.005], [0.728, 0.126, 0.457], [0.502, 0.589, 0.003]]
}



{
  "formula": "KBe2Ir",
  "functional": "SCAN",
  "state": "single point on PBEsol structure",
  "volume_a3_per_atom": 15.49,
  "dos_ef_per_ev_cell": 1.6,
  "magmom_total_mub_per_atom": 0.072,
  "e_tot_ev_per_cell": -86.43,
  "polymorph_energy_ev_per_atom": 0.000,
  "delta_e_f_ev_per_atom": 0.43,
  "cell": [[-0.044, 0.994, 2.621], [1.804, -0.989, 1.904], [6.582, 6.436, -0.830]],
  "species": ["Be", "Be", "K", "Ir"],
  "frac_coords": [[0.771, 0.771, 0.687], [0.229, 0.229, 0.313], [0.000, 0.000, 0.000], [0.500, 0.500, 0.500]]
}



{
  "formula": "SrRu3O",
  "functional": "SCAN",
  "state": "single point on PBEsol structure",
  "raw_formation_energy_kcal_per_mol_atoms": 73.6,
  "volume_a3_per_atom": 22.95,
  "dos_ef_per_ev_cell": 4.4,
  "magmom_total_mub_per_atom": 1.496,
  "e_tot_ev_per_cell": -117.03,
  "cell": [[4.859, 0.000, 0.000], [0.000, 4.859, 0.000], [0.000, 0.000, 4.859]],
  "species": ["O", "Ru", "Sr", "Ru", "Ru"],
  "frac_coords": [[0.500, 0.500, 0.500], [0.000, 0.500, 0.000], [0.000, 0.000, 0.000], [0.000, 0.000, 0.500], [0.500, 0.000, 0.000]]
}



{
  "formula": "CaCo2Br",
  "functional": "SCAN",
  "state": "single point on PBEsol structure",
  "raw_formation_energy_kcal_per_mol_atoms": 12.2,
  "volume_a3_per_atom": 17.13,
  "dos_ef_per_ev_cell": 0.1,
  "magmom_total_mub_per_atom": 0.751,
  "e_tot_ev_per_cell": -61.61,
  "polymorph_energy_ev_per_atom": 0.683,
  "cell": [[-1.709, 2.649, -3.340], [-4.546, 0.484, -0.448], [-1.996, 4.004, 1.039]],
  "species": ["Co", "Ca", "Br", "Co"],
  "frac_coords": [[0.000, 0.000, 0.000], [0.250, 0.250, 0.250], [0.500, 0.500, 0.500], [0.750, 0.750, 0.750]]
}



{
  "formula": "Si2MoAu",
  "functional": "SCAN",
  "state": "single point on PBEsol structure",
  "raw_formation_energy_kcal_per_mol_atoms": 1.1,
  "volume_a3_per_atom": 14.88,
  "dos_ef_per_ev_cell": 2.3,
  "magmom_total_mub_per_atom": 0.000,
  "e_tot_ev_per_cell": -123.89,
  "polymorph_energy_ev_per_atom": 0.000,
  "cell": [[-0.212, 1.608, 2.321], [-3.791, -0.856, 0.247], [1.168, -4.283, 3.073]],
  "species": ["Si", "Si", "Mo", "Au"],
  "frac_coords": [[0.500, 0.000, 0.717], [0.500, 0.000, 0.283], [0.000, 0.500, 0.500], [0.500, 0.500, 0.000]]
}



{
  "formula": "KPb3N",
  "functional": "SCAN",
  "state": "single point on PBEsol structure",
  "raw_formation_energy_kcal_per_mol_atoms": 10.4,
  "volume_a3_per_atom": 27.27,
  "dos_ef_per_ev_cell": 3.2,
  "magmom_total_mub_per_atom": 0.113,
  "e_tot_ev_per_cell": -242.71,
  "polymorph_energy_ev_per_atom": 0.000,
  "cell": [[5.147, 0.000, 0.000], [0.000, 5.147, 0.000], [0.000, 0.000, 5.147]],
  "species": ["Pb", "N", "Pb", "K", "Pb"],
  "frac_coords": [[0.000, 0.500, 0.000], [0.000, 0.000, 0.000], [0.000, 0.000, 0.500], [0.500, 0.500, 0.500], [0.500, 0.000, 0.000]]
}



{
  "formula": "EuCd2In",
  "functional": "SCAN",
  "state": "single point on PBEsol structure",
  "volume_a3_per_atom": 23.64,
  "dos_ef_per_ev_cell": 1.3,
  "magmom_total_mub_per_atom": 1.760,
  "e_tot_ev_per_cell": -149.41,
  "delta_e_f_ev_per_atom": -0.37,
  "cell": [[5.114, 0.000, 0.000], [2.557, 4.429, 0.000], [2.557, 1.476, 4.176]],
  "species": ["Cd", "Eu", "In", "Cd"],
  "frac_coords": [[0.250, 0.250, 0.250], [0.500, 0.500, 0.500], [0.000, 0.000, 0.000], [0.750, 0.750, 0.750]]
}



{
  "formula": "MoC3Br",
  "functional": "SCAN",
  "state": "single point on PBEsol structure",
  "raw_formation_energy_kcal_per_mol_atoms": 52.2,
  "volume_a3_per_atom": 14.25,
  "dos_ef_per_ev_cell": 5.8,
  "magmom_total_mub_per_atom": 0.001,
  "e_tot_ev_per_cell": -73.32,
  "polymorph_energy_ev_per_atom": 0.000,
  "cell": [[4.145, 0.000, 0.000], [0.000, 4.145, 0.000], [0.000, 0.000, 4.145]],
  "species": ["C", "Br", "Mo", "C", "C"],
  "frac_coords": [[0.000, 0.000, 0.500], [0.500, 0.500, 0.500], [0.000, 0.000, 0.000], [0.500, 0.000, 0.000], [0.000, 0.500, 0.000]]
}



{
  "formula": "NaCaBeGa2",
  "functional": "SCAN",
  "state": "single point on PBEsol structure",
  "volume_a3_per_atom": 19.89,
  "dos_ef_per_ev_cell": 2.0,
  "magmom_total_mub_per_atom": 0.000,
  "e_tot_ev_per_cell": -50.68,
  "delta_e_f_ev_per_atom": 0.05,
  "cell": [[-1.764, 3.111, 2.742], [2.414, -1.652, 3.428], [3.664, 3.054, -1.108]],
  "species": ["Ga", "Ga", "Be", "Na", "Ca"],
  "frac_coords": [[0.500, 0.000, 0.000], [0.000, 0.500, 0.000], [0.000, 0.000, 0.000], [0.000, 0.000, 0.500], [0.500, 0.500, 0.500]]
}



{
  "formula": "As2P",
  "functional": "SCAN",
  "state": "single point on PBEsol structure",
  "volume_a3_per_atom": 17.81,
  "dos_ef_per_ev_cell": 1.5,
  "magmom_total_mub_per_atom": 0.000,
  "e_tot_ev_per_cell": -49.53,
  "polymorph_energy_ev_per_atom": 0.355,
  "delta_e_f_ev_per_atom": 0.42,
  "cell": [[-2.399, -0.158, 1.096], [2.024, -0.747, 4.323], [-0.968, 4.500, -1.469]],
  "species": ["As", "As", "P"],
  "frac_coords": [[0.001, 0.333, 0.667], [0.999, 0.667, 0.333], [0.000, 0.000, 0.000]]
}



{
  "formula": "KTl2Os",
  "functional": "SCAN",
  "state": "single point on PBEsol structure",
  "volume_a3_per_atom": 27.68,
  "dos_ef_per_ev_cell": 1.9,
  "magmom_total_mub_per_atom": 0.001,
  "e_tot_ev_per_cell": -222.70,
  "polymorph_energy_ev_per_atom": 0.047,
  "delta_e_f_ev_per_atom": 0.56,
  "cell": [[-0.619, -2.894, -1.060], [3.194, -1.626, 2.577], [-5.277, -1.027, 5.893]],
  "species": ["Tl", "Os", "Tl", "K"],
  "frac_coords": [[0.875, 0.000, 0.888], [0.375, 0.500, 0.906], [0.876, 0.500, 0.200], [0.374, 0.000, 0.507]]
}



{
  "formula": "Li3Ca5",
  "functional": "SCAN",
  "state": "single point on PBEsol structure",
  "volume_a3_per_atom": 33.60,
  "dos_ef_per_ev_cell": 6.1,
  "magmom_total_mub_per_atom": 0.044,
  "e_tot_ev_per_cell": -55.13,
  "polymorph_energy_ev_per_atom": 0.016,
  "delta_e_f_ev_per_atom": 0.04,
  "cell": [[-0.919, 4.597, 2.904], [-6.986, -0.724, -1.064], [1.318, -3.537, 6.017]],
  "species": ["Ca", "Li", "Li", "Ca", "Ca", "Li", "Ca", "Ca"],
  "frac_coords": [[0.000, 0.000, 0.000], [0.000, 0.500, 0.500], [0.500, 0.234, 0.766], [0.500, 0.276, 0.276], [0.000, 0.000, 0.500], [0.500, 0.766, 0.234], [0.000, 0.500, 0.000], [0.500, 0.724, 0.724]]
}



{
  "formula": "HfTe2PdAu",
  "functional": "SCAN",
  "state": "single point on PBEsol structure",
  "raw_formation_energy_kcal_per_mol_atoms": 19.4,
  "volume_a3_per_atom": 27.99,
  "dos_ef_per_ev_cell": 3.9,
  "magmom_total_mub_per_atom": 0.000,
  "e_tot_ev_per_cell": -234.90,
  "cell": [[5.093, 0.000, 0.000], [0.000, 5.242, 0.000], [0.000, 0.000, 5.242]],
  "species": ["Te", "Te", "Pd", "Au", "Hf"],
  "frac_coords": [[0.000, 0.000, 0.500], [0.000, 0.500, 0.000], [0.500, 0.500, 0.500], [0.000, 0.000, 0.000], [0.500, 0.000, 0.000]]
}



{
  "formula": "BeC",
  "functional": "SCAN",
  "state": "single point on PBEsol structure",
  "volume_a3_per_atom": 7.13,
  "dos_ef_per_ev_cell": 1.3,
  "magmom_total_mub_per_atom": 0.000,
  "e_tot_ev_per_cell": -37.52,
  "polymorph_energy_ev_per_atom": 0.283,
  "delta_e_f_ev_per_atom": 0.97,
  "cell": [[1.905, 0.000, 0.000], [0.000, 5.092, 0.000], [0.000, -2.546, 4.410]],
  "species": ["Be", "C", "Be", "Be", "C", "C"],
  "frac_coords": [[0.000, 0.638, 0.638], [0.500, 0.667, 0.333], [0.000, 0.000, 0.362], [0.000, 0.362, 0.000], [0.500, 0.333, 0.667], [0.000, 0.000, 0.000]]
}



{
  "formula": "ZnTc2Sb",
  "functional": "SCAN",
  "state": "single point on PBEsol structure",
  "raw_formation_energy_kcal_per_mol_atoms": 9.3,
  "volume_a3_per_atom": 15.86,
  "dos_ef_per_ev_cell": 3.9,
  "magmom_total_mub_per_atom": 0.001,
  "e_tot_ev_per_cell": -119.28,
  "polymorph_energy_ev_per_atom": 0.161,
  "cell": [[3.016, 0.000, 0.000], [1.508, 2.612, 0.000], [1.508, 0.871, 8.052]],
  "species": ["Zn", "Tc", "Tc", "Sb"],
  "frac_coords": [[0.500, 0.500, 0.500], [0.249, 0.249, 0.253], [0.751, 0.751, 0.747], [0.000, 0.000, 0.000]]
}